1.
DFT (SCAN) results for HfTcAs2Br at its PBEsol-relaxed geometry.

Output
uncorrected formation energy	0.702	eV per atom
total magnetic moment	0.0	μB/f.u.
final energy	-30.813	eV/atom

a = 4.6925 Å, b = 4.6925 Å, c = 4.9917 Å
α = 90.00°, β = 90.00°, γ = 90.00°
Space group P4/mmm (No. 123)
Unique sites:
Hf (0.0000, 0.0000, 0.0000) [1 per cell]
Tc (0.5000, 0.5000, 0.5000) [1 per cell]
As (0.0000, 0.5000, 0.5000) [2 per cell]
Br (0.5000, 0.5000, 0.0000) [1 per cell]



2.
DFT (SCAN) results for V3FeSn2P6O24 at its PBEsol-relaxed geometry.

Output
uncorrected formation energy	-2.348	eV per atom
total magnetic moment	8.7	μB/f.u.
final energy	-12.191	eV/atom

a = 8.4279 Å, b = 8.4279 Å, c = 22.5576 Å
α = 90.00°, β = 90.00°, γ = 120.00°
Space group R3 (No. 146, hexagonal axes)
Unique sites:
V (0.0000, 0.0000, 0.0000) [3 per cell]
V (0.0000, 0.0000, 0.2077) [3 per cell]
V (0.0000, 0.0000, 0.7033) [3 per cell]
Fe (0.0000, 0.0000, 0.5091) [3 per cell]
Sn (0.0000, 0.0000, 0.3698) [3 per cell]
Sn (0.0000, 0.0000, 0.8443) [3 per cell]
P (0.0012, 0.2897, 0.6035) [9 per cell]
P (0.0529, 0.6704, 0.7704) [9 per cell]
O (0.0024, 0.8155, 0.0466) [9 per cell]
O (0.0045, 0.1815, 0.9484) [9 per cell]
O (0.0107, 0.8302, 0.7649) [9 per cell]
O (0.0478, 0.2002, 0.2590) [9 per cell]
O (0.0639, 0.2256, 0.5494) [9 per cell]
O (0.1592, 0.4638, 0.3267) [9 per cell]
O (0.1702, 0.7096, 0.8261) [9 per cell]
O (0.1806, 0.7170, 0.1090) [9 per cell]



3.
DFT (SCAN) results for BaLa2Ir at its PBEsol-relaxed geometry.

Output
polymorph energy (0 for the lowest one)	168	meV/atom
DFT formation energy	-1.520	eV/f.u.
total magnetic moment	0.0	μB/f.u.
final energy	-49.595	eV/atom

a = 3.9527 Å, b = 4.2762 Å, c = 16.9954 Å
α = 90.00°, β = 90.00°, γ = 90.00°
Space group Amm2 (No. 38)
Unique sites:
Ba (0.0000, 0.0000, 0.0000) [2 per cell]
La (0.0000, 0.0000, 0.3178) [2 per cell]
La (0.5000, 0.0000, 0.6731) [2 per cell]
Ir (0.5000, 0.0000, 0.8288) [2 per cell]



4.
DFT (SCAN) results for AsH3Os at its PBEsol-relaxed geometry.

Output
total magnetic moment	0.0	μB/f.u.
final energy	-19.842	eV/atom

a = 3.5091 Å, b = 3.5091 Å, c = 3.5091 Å
α = 90.00°, β = 90.00°, γ = 90.00°
Space group Pm-3m (No. 221)
Unique sites:
As (0.0000, 0.0000, 0.0000) [1 per cell]
H (0.0000, 0.5000, 0.5000) [3 per cell]
Os (0.5000, 0.5000, 0.5000) [1 per cell]



5.
DFT (SCAN) results for GaSbHPd2 at its PBEsol-relaxed geometry.

Output
total magnetic moment	0.0	μB/f.u.
final energy	-24.267	eV/atom

a = 4.9779 Å, b = 4.9779 Å, c = 3.5084 Å
α = 90.00°, β = 90.00°, γ = 90.00°
Space group P4/mmm (No. 123)
Unique sites:
Ga (0.0000, 0.0000, 0.0000) [1 per cell]
Sb (0.5000, 0.5000, 0.5000) [1 per cell]
H (0.5000, 0.5000, 0.0000) [1 per cell]
Pd (0.0000, 0.5000, 0.5000) [2 per cell]



6.
DFT (SCAN) results for Sr4LaTi5O15 at its PBEsol-relaxed geometry.

Output
uncorrected formation energy	-3.505	eV per atom
total magnetic moment	0.0	μB/f.u.
final energy	-15.738	eV/atom

a = 16.5485 Å, b = 5.5182 Å, c = 6.7564 Å
α = 90.00°, β = 105.78°, γ = 90.00°
Space group C2/m (No. 12)
Unique sites:
Sr (0.1005, 0.0000, 0.4001) [4 per cell]
Sr (0.2001, 0.5000, 0.8001) [4 per cell]
La (0.0000, 0.5000, 0.0000) [2 per cell]
Ti (0.0000, 0.5000, 0.5000) [2 per cell]
Ti (0.1006, 0.0000, 0.9005) [4 per cell]
Ti (0.2004, 0.5000, 0.3018) [4 per cell]
O (0.0000, 0.0000, 0.0000) [2 per cell]
O (0.0489, 0.2532, 0.7048) [8 per cell]
O (0.0988, 0.5000, 0.3971) [4 per cell]
O (0.1461, 0.2539, 0.0998) [8 per cell]
O (0.2011, 0.0000, 0.8049) [4 per cell]
O (0.2500, 0.2500, 0.5000) [4 per cell]



7.
DFT (SCAN) results for MgPtCl2 at its PBEsol-relaxed geometry.

Output
polymorph energy (0 for the lowest one)	149	meV/atom
uncorrected formation energy	-0.516	eV per atom
total magnetic moment	0.0	μB/f.u.
final energy	-23.296	eV/atom

a = 4.4820 Å, b = 4.4820 Å, c = 15.3232 Å
α = 90.00°, β = 90.00°, γ = 90.00°
Space group I-42d (No. 122)
Unique sites:
Mg (0.0000, 0.0000, 0.0000) [4 per cell]
Pt (0.0000, 0.0000, 0.5000) [4 per cell]
Cl (0.2467, 0.7500, 0.6250) [8 per cell]



8.
DFT (SCAN) results for Sb2TePtSe at its PBEsol-relaxed geometry.

Output
uncorrected formation energy	1.210	eV per atom
total magnetic moment	0.0	μB/f.u.
final energy	-39.199	eV/atom

a = 5.1738 Å, b = 5.1738 Å, c = 5.3056 Å
α = 90.00°, β = 90.00°, γ = 90.00°
Space group P4/mmm (No. 123)
Unique sites:
Sb (0.0000, 0.5000, 0.0000) [2 per cell]
Te (0.0000, 0.0000, 0.5000) [1 per cell]
Pt (0.5000, 0.5000, 0.5000) [1 per cell]
Se (0.0000, 0.0000, 0.0000) [1 per cell]



9.
DFT (SCAN) results for La2TaW at its PBEsol-relaxed geometry.

Output
polymorph energy (0 for the lowest one)	64	meV/atom
DFT formation energy	3.623	eV/f.u.
total magnetic moment	0.0	μB/f.u.
final energy	-54.715	eV/atom

a = 3.1470 Å, b = 5.1362 Å, c = 10.7558 Å
α = 90.00°, β = 90.00°, γ = 90.00°
Space group Cmmm (No. 65)
Unique sites:
La (0.0000, 0.0000, 0.2377) [4 per cell]
Ta (0.0000, 0.5000, 0.5000) [2 per cell]
W (0.0000, 0.5000, 0.0000) [2 per cell]



10.
DFT (SCAN) results for BaYHgRu2 at its PBEsol-relaxed geometry.

Output
DFT formation energy	5.195	eV/f.u.
total magnetic moment	2.4	μB/f.u.
final energy	-40.003	eV/atom

a = 5.1150 Å, b = 5.1150 Å, c = 5.1790 Å
α = 90.00°, β = 90.00°, γ = 90.00°
Space group P4/mmm (No. 123)
Unique sites:
Ba (0.0000, 0.0000, 0.0000) [1 per cell]
Y (0.5000, 0.5000, 0.0000) [1 per cell]
Hg (0.5000, 0.5000, 0.5000) [1 per cell]
Ru (0.0000, 0.5000, 0.5000) [2 per cell]



11.
DFT (SCAN) results for AlIn2Cl at its PBEsol-relaxed geometry.

Output
polymorph energy (0 for the lowest one)	284	meV/atom
uncorrected formation energy	-0.009	eV per atom
total magnetic moment	0.0	μB/f.u.
final energy	-20.635	eV/atom

a = 4.7842 Å, b = 4.7842 Å, c = 7.9994 Å
α = 90.00°, β = 90.00°, γ = 90.00°
Space group I4/mmm (No. 139)
Unique sites:
Al (0.0000, 0.0000, 0.0000) [2 per cell]
In (0.0000, 0.5000, 0.2500) [4 per cell]
Cl (0.0000, 0.0000, 0.5000) [2 per cell]



12.
DFT (SCAN) results for NpB12 at its PBEsol-relaxed geometry.

Output
DFT formation energy	-2.964	eV/f.u.
total magnetic moment	3.2	μB/f.u.
final energy	-15.317	eV/atom

a = 7.4062 Å, b = 7.4062 Å, c = 7.4062 Å
α = 90.00°, β = 90.00°, γ = 90.00°
Space group Fm-3m (No. 225)
Unique sites:
Np (0.0000, 0.0000, 0.0000) [4 per cell]
B (0.0000, 0.1693, 0.3307) [48 per cell]